[1]
Density functional theory data (GGA-PBE) for a geometry-optimized Ti3Nb2In3 structure.

a b c (Å): 4.306 3.977 9.321
angles (deg): 102.32 103.36 90.00
Fractional coordinates of all 8 atoms:
Ti (0.622, 0.122, 0.245)
Ti (0.500, 0.500, 0.000)
Ti (0.378, 0.878, 0.755)
Nb (0.745, 0.745, 0.490)
Nb (0.255, 0.255, 0.510)
In (0.872, 0.372, 0.744)
In (0.000, 0.000, 0.000)
In (0.128, 0.628, 0.256)

Results
SG = Immm, No. 71

[2]
Density functional theory data (GGA-PBE) for a geometry-optimized Ti3NbIn4 structure.

a b c (Å): 6.029 6.037 8.648
angles (deg): 90.00 90.00 90.00
Each line ends with the local moment (μB).
Fractional coordinates of all 16 atoms:
Ti (0.064, 0.742, 0.750)  0.22
Ti (0.564, 0.258, 0.250)  0.22
Ti (0.564, 0.258, 0.750)  0.22
Ti (0.064, 0.742, 0.250)  0.22
Ti (0.314, 0.000, 0.500)  0.59
Ti (0.814, 0.000, 0.000)  0.59
In (0.814, 0.500, 0.500)  0.01
In (0.564, 0.754, 0.750)  0.00
In (0.314, 0.500, 0.000)  0.01
In (0.564, 0.754, 0.250)  0.00
In (0.814, 0.000, 0.500)  0.00
In (0.064, 0.246, 0.750)  0.00
In (0.314, 0.000, 0.000)  0.00
In (0.064, 0.246, 0.250)  0.00
Nb (0.814, 0.500, 0.000)  -0.07
Nb (0.314, 0.500, 0.500)  -0.07

Results
SG = Pmna, No. 53

[3]
Density functional theory data (GGA-PBE) for a geometry-optimized Ti4NbIn3 structure.

a b c (Å): 4.612 4.612 7.735
angles (deg): 107.36 107.35 90.00
Fractional coordinates of all 8 atoms:
Nb (0.500, 0.000, 0.000)
Ti (0.881, 0.881, 0.762)
Ti (0.381, 0.381, 0.762)
Ti (0.619, 0.619, 0.238)
Ti (0.119, 0.119, 0.238)
In (0.744, 0.244, 0.488)
In (0.000, 0.500, 0.000)
In (0.256, 0.756, 0.512)

Results
SG = I4/mmm, No. 139

Raw total energy (Ry per atom)
-0.4842, -0.4125, -0.4696
Spin magnetization (Bohr magnetons per cell)
0.0, 2.6, 0.0
N(E_F) (states/eV/cell)
7.486, 15.725, 4.721